# BeTlSF2

A relaxed structure of BeTlSF2 (PBE, the Alexandria database).

## Properties
Energy relative to the elements, uncorrected   -79 meV/atom
VASP energy   -2.87 eV/atom
Magnetization   0.00 μB/f.u.
Crystal system   tetragonal
Theoretical density   4.9 Mg/m³
Density of states at the Fermi level   1.7 states/eV per cell

Lattice parameters (Å, degrees): 3.9997 3.9997 6.0498 90.00 90.00 90.00
Fractional coordinates of all 5 atoms:
Be 0.0000 0.0000 0.0000
Tl 0.5000 0.5000 0.0000
S 0.5000 0.5000 0.5000
F 0.0000 0.5000 0.5000
F 0.5000 0.0000 0.5000